Entry 1:
DFT (PBE-GGA) results for an optimized crystal structure of Pa3HgH.

Computed properties:
The calculation puts the total energy at -6.395 eV/atom. Its density of states at the Fermi level is 1.9456 states/eV per atom.

CIF file:
```
data_Pa3HgH
_chemical_formula_sum 'Pa3 Hg1 H1'
_cell_length_a 4.6819
_cell_length_b 4.6819
_cell_length_c 4.6819
_cell_angle_alpha 90.00
_cell_angle_beta 90.00
_cell_angle_gamma 90.00
_symmetry_space_group_name_H-M 'P m -3 m'
_symmetry_Int_Tables_number 221
_symmetry_space_group_name_Hall '-P 4 2 3'
loop_
_atom_site_label
_atom_site_fract_x
_atom_site_fract_y
_atom_site_fract_z
_atom_site_occupancy
Pa1 0.0000 0.0000 0.5000 1
Hg1 0.5000 0.5000 0.5000 1
H1 0.0000 0.0000 0.0000 1
```

Entry 2:
DFT (PBE-GGA) results for an optimized crystal structure of La2Mn2Al.

Computed properties:
The calculation puts the calculated formation energy at 54.9 meV/atom. The calculation puts the total energy at -6.332 eV/atom. Its density of states at the Fermi level is 1.2052 states/eV per atom.

CIF file:
```
data_La2Mn2Al
_chemical_formula_sum 'La4 Mn4 Al2'
_cell_length_a 7.1575
_cell_length_b 7.1575
_cell_length_c 4.4669
_cell_angle_alpha 90.00
_cell_angle_beta 90.00
_cell_angle_gamma 90.00
_symmetry_space_group_name_H-M 'P 4/m b m'
_symmetry_Int_Tables_number 127
_symmetry_space_group_name_Hall '-P 4 2ab'
loop_
_atom_site_label
_atom_site_fract_x
_atom_site_fract_y
_atom_site_fract_z
_atom_site_occupancy
La1 0.1787 0.3213 0.0000 1
Mn1 0.1284 0.6284 0.5000 1
Al1 0.0000 0.0000 0.5000 1
```

Entry 3:
DFT (PBE-GGA) results for an optimized crystal structure of La2CoTc2.

Computed properties:
The calculation puts the calculated formation energy at 263.6 meV/atom. The calculation puts the total energy at -7.275 eV/atom. Its density of states at the Fermi level is 1.7593 states/eV per atom.

CIF file:
```
data_La2CoTc2
_chemical_formula_sum 'La4 Co2 Tc4'
_cell_length_a 6.6752
_cell_length_b 6.6752
_cell_length_c 4.7385
_cell_angle_alpha 90.00
_cell_angle_beta 90.00
_cell_angle_gamma 90.00
_symmetry_space_group_name_H-M 'P 4/m b m'
_symmetry_Int_Tables_number 127
_symmetry_space_group_name_Hall '-P 4 2ab'
loop_
_atom_site_label
_atom_site_fract_x
_atom_site_fract_y
_atom_site_fract_z
_atom_site_occupancy
La1 0.1865 0.3135 0.0000 1
Co1 0.0000 0.0000 0.5000 1
Tc1 0.1251 0.6251 0.5000 1
```